# Tl5SbPb

A relaxed structure of Tl5SbPb (GGA-PBE, the Alexandria database).

```
Tl5SbPb
1.0
5.9173 -3.2486 0.0000
5.9173 3.2486 0.0000
-2.3712 0.0000 11.8512
Tl Sb Pb
10 2 2
Cartesian
0.5241 0.3142 6.3453
1.2045 0.4456 9.6664
1.7097 -0.3142 0.4197
4.1389 1.9102 8.8884
2.3901 -0.4456 3.7409
7.0734 0.4456 8.1103
5.3245 -1.9102 2.9628
7.7537 0.3142 11.4314
8.2590 -0.4456 2.1847
8.9393 -0.3142 5.5059
5.9173 0.0000 0.0000
4.7317 0.0000 5.9256
5.3245 1.3259 2.9628
4.1389 -1.3259 8.8884
```

Formation energy without anion corrections: 0.053 eV per atom
Relative energy among the computed polymorphs: 0.018 eV per atom
Mass density: 9.85 g cm⁻³
Final energy: -2.76 eV per atom